[1]
Compound: BeZn2W
Source: Alexandria
Functional: PBEsol
Structure: optimized geometry

Structure (CIF):
```
data_BeZn2W
_chemical_formula_sum 'Be2 Zn4 W2'
_cell_length_a 3.796
_cell_length_b 2.698
_cell_length_c 10.120
_cell_angle_alpha 90.00
_cell_angle_beta 90.00
_cell_angle_gamma 90.00
_symmetry_space_group_name_H-M 'A m m 2'
_symmetry_Int_Tables_number 38
_symmetry_space_group_name_Hall 'A 2 -2'
loop_
_atom_site_label
_atom_site_type_symbol
_atom_site_fract_x
_atom_site_fract_y
_atom_site_fract_z
Be1 Be 0.000 0.000 0.000
Zn1 Zn 0.000 0.000 0.763
Zn2 Zn 0.500 0.000 0.143
W1 W 0.500 0.000 0.409
```

Values from the calculation:
- E_tot: -40.35 eV/cell
- Formation energy from the elements: 0.20 eV/atom
- Total moment: 0.0 Bohr magnetons per cell



[2]
Compound: BeZn4W
Source: Alexandria
Functional: PBEsol
Structure: optimized geometry

Structure (CIF):
```
data_BeZn4W
_chemical_formula_sum 'Be4 Zn16 W4'
_cell_length_a 6.865
_cell_length_b 6.865
_cell_length_c 6.865
_cell_angle_alpha 90.00
_cell_angle_beta 90.00
_cell_angle_gamma 90.00
_symmetry_space_group_name_H-M 'F -4 3 m'
_symmetry_Int_Tables_number 216
_symmetry_space_group_name_Hall 'F -4 2 3'
loop_
_atom_site_label
_atom_site_type_symbol
_atom_site_fract_x
_atom_site_fract_y
_atom_site_fract_z
Be1 Be 0.000 0.000 0.000
Zn1 Zn 0.124 0.124 0.624
W1 W 0.250 0.250 0.250
```

Values from the calculation:
- E_tot: -84.16 eV/cell
- Formation energy from the elements: 0.52 eV/atom
- Total moment: 3.2 Bohr magnetons per cell



[3]
Compound: BeZn2W
Source: Alexandria
Functional: PBEsol
Structure: optimized geometry

Structure (CIF):
```
data_BeZn2W
_chemical_formula_sum 'Be1 Zn2 W1'
_cell_length_a 2.768
_cell_length_b 2.768
_cell_length_c 6.562
_cell_angle_alpha 90.00
_cell_angle_beta 90.00
_cell_angle_gamma 90.00
_symmetry_space_group_name_H-M 'P 4/m m m'
_symmetry_Int_Tables_number 123
_symmetry_space_group_name_Hall '-P 4 2'
loop_
_atom_site_label
_atom_site_type_symbol
_atom_site_fract_x
_atom_site_fract_y
_atom_site_fract_z
Be1 Be 0.000 0.000 0.000
Zn1 Zn 0.500 0.500 0.209
W1 W 0.000 0.000 0.500
```

Values from the calculation:
- E_tot: -19.87 eV/cell
- Formation energy from the elements: 0.27 eV/atom
- Total moment: 0.0 Bohr magnetons per cell



[4]
Compound: BeZn2W
Source: Alexandria
Functional: PBEsol
Structure: optimized geometry

Structure (CIF):
```
data_BeZn2W
_chemical_formula_sum 'Be2 Zn4 W2'
_cell_length_a 3.690
_cell_length_b 3.690
_cell_length_c 7.609
_cell_angle_alpha 90.00
_cell_angle_beta 90.00
_cell_angle_gamma 90.00
_symmetry_space_group_name_H-M 'I -4 m 2'
_symmetry_Int_Tables_number 119
_symmetry_space_group_name_Hall 'I -4 -2'
loop_
_atom_site_label
_atom_site_type_symbol
_atom_site_fract_x
_atom_site_fract_y
_atom_site_fract_z
Be1 Be 0.000 0.000 0.000
Zn1 Zn 0.000 0.000 0.500
Zn2 Zn 0.000 0.500 0.750
W1 W 0.000 0.500 0.250
```

Values from the calculation:
- E_tot: -38.66 eV/cell
- Formation energy from the elements: 0.41 eV/atom
- Total moment: 0.0 Bohr magnetons per cell



[5]
Compound: Y3Be4
Source: Alexandria
Functional: PBEsol
Structure: optimized geometry

Structure (CIF):
```
data_Y3Be4
_chemical_formula_sum 'Y6 Be8'
_cell_length_a 3.035
_cell_length_b 3.035
_cell_length_c 26.109
_cell_angle_alpha 90.00
_cell_angle_beta 90.00
_cell_angle_gamma 90.00
_symmetry_space_group_name_H-M 'I 4/m m m'
_symmetry_Int_Tables_number 139
_symmetry_space_group_name_Hall '-I 4 2'
loop_
_atom_site_label
_atom_site_type_symbol
_atom_site_fract_x
_atom_site_fract_y
_atom_site_fract_z
Y1 Y 0.000 0.000 0.000
Y2 Y 0.000 0.000 0.306
Be1 Be 0.000 0.000 0.115
Be2 Be 0.000 0.000 0.421
```

Values from the calculation:
- E_tot: -69.17 eV/cell
- Formation energy from the elements: 0.27 eV/atom
- Total moment: 0.0 Bohr magnetons per cell



[6]
Compound: YBe
Source: Alexandria
Functional: PBEsol
Structure: optimized geometry

Structure (CIF):
```
data_YBe
_chemical_formula_sum 'Y2 Be2'
_cell_length_a 3.5255
_cell_length_b 3.5255
_cell_length_c 8.1596
_cell_angle_alpha 90.00
_cell_angle_beta 90.00
_cell_angle_gamma 120.00
_symmetry_space_group_name_H-M 'P 63/m m c'
_symmetry_Int_Tables_number 194
_symmetry_space_group_name_Hall '-P 6c 2c'
loop_
_atom_site_label
_atom_site_type_symbol
_atom_site_fract_x
_atom_site_fract_y
_atom_site_fract_z
Y1 Y 0.0000 0.0000 0.0000
Be1 Be 0.3333 0.6667 0.2500
```

Values from the calculation:
- ΔE to the lowest computed polymorph: 542 meV/atom
- E_tot: -19.47 eV/cell
- Formation energy from the elements: 0.54 eV/atom
- Total moment: 0.0 Bohr magnetons per cell



[7]
Compound: Y5Be
Source: Alexandria
Functional: PBEsol
Structure: optimized geometry

Structure (CIF):
```
data_Y5Be
_chemical_formula_sum 'Y5 Be1'
_cell_length_a 3.459
_cell_length_b 3.459
_cell_length_c 13.492
_cell_angle_alpha 90.00
_cell_angle_beta 90.00
_cell_angle_gamma 90.00
_symmetry_space_group_name_H-M 'P 4/m m m'
_symmetry_Int_Tables_number 123
_symmetry_space_group_name_Hall '-P 4 2'
loop_
_atom_site_label
_atom_site_type_symbol
_atom_site_fract_x
_atom_site_fract_y
_atom_site_fract_z
Y1 Y 0.000 0.000 0.000
Y2 Y 0.000 0.000 0.380
Y3 Y 0.500 0.500 0.185
Be1 Be 0.500 0.500 0.500
```

Values from the calculation:
- ΔE to the lowest computed polymorph: 0 meV/atom
- E_tot: -37.84 eV/cell
- Formation energy from the elements: 0.05 eV/atom
- Total moment: 0.0 Bohr magnetons per cell



[8]
Compound: YBe
Source: Alexandria
Functional: PBEsol
Structure: optimized geometry

Structure (CIF):
```
data_YBe
_chemical_formula_sum 'Y2 Be2'
_cell_length_a 3.089
_cell_length_b 3.089
_cell_length_c 7.914
_cell_angle_alpha 90.00
_cell_angle_beta 90.00
_cell_angle_gamma 90.00
_symmetry_space_group_name_H-M 'P 4/n m m'
_symmetry_Int_Tables_number 129
loop_
_symmetry_equiv_pos_as_xyz
'x,y,z'
'-x,-y,-z'
'-y+1/2,x,z'
'y+1/2,-x,-z'
'-x+1/2,-y+1/2,z'
'x+1/2,y+1/2,-z'
'y,-x+1/2,z'
'-y,x+1/2,-z'
'x+1/2,-y,-z'
'-x+1/2,y,z'
'-y,-x,-z'
'y,x,z'
'-x,y+1/2,-z'
'x,-y+1/2,z'
'y+1/2,x+1/2,-z'
'-y+1/2,-x+1/2,z'
loop_
_atom_site_label
_atom_site_type_symbol
_atom_site_fract_x
_atom_site_fract_y
_atom_site_fract_z
Y1 Y 0.250 0.250 0.181
Be1 Be 0.250 0.250 0.557
```

Values from the calculation:
- ΔE to the lowest computed polymorph: 269 meV/atom
- E_tot: -20.56 eV/cell
- Formation energy from the elements: 0.27 eV/atom
- Total moment: 0.0 Bohr magnetons per cell



[9]
Compound: YBe13
Source: Alexandria
Functional: PBEsol
Structure: optimized geometry

Structure (CIF):
```
data_YBe13
_chemical_formula_sum 'Y8 Be104'
_cell_length_a 10.136
_cell_length_b 10.136
_cell_length_c 10.136
_cell_angle_alpha 90.00
_cell_angle_beta 90.00
_cell_angle_gamma 90.00
_symmetry_space_group_name_H-M 'F m -3 c'
_symmetry_Int_Tables_number 226
_symmetry_space_group_name_Hall '-F 4a 2 3'
loop_
_atom_site_label
_atom_site_type_symbol
_atom_site_fract_x
_atom_site_fract_y
_atom_site_fract_z
Y1 Y 0.250 0.250 0.250
Be1 Be 0.000 0.000 0.000
Be2 Be 0.000 0.114 0.177
```

Values from the calculation:
- E_tot: -491.27 eV/cell
- Formation energy from the elements: -0.18 eV/atom
- Total moment: 0.0 Bohr magnetons per cell



[10]
Compound: YBe
Source: Alexandria
Functional: PBEsol
Structure: optimized geometry

Structure (CIF):
```
data_YBe
_chemical_formula_sum 'Y2 Be2'
_cell_length_a 4.6855
_cell_length_b 4.6855
_cell_length_c 4.0226
_cell_angle_alpha 90.00
_cell_angle_beta 90.00
_cell_angle_gamma 120.00
_symmetry_space_group_name_H-M 'P 63/m m c'
_symmetry_Int_Tables_number 194
_symmetry_space_group_name_Hall '-P 6c 2c'
loop_
_atom_site_label
_atom_site_type_symbol
_atom_site_fract_x
_atom_site_fract_y
_atom_site_fract_z
Y1 Y 0.3333 0.6667 0.2500
Be1 Be 0.0000 0.0000 0.2500
```

Values from the calculation:
- ΔE to the lowest computed polymorph: 0 meV/atom
- E_tot: -21.64 eV/cell
- Formation energy from the elements: 0.00 eV/atom
- Total moment: 0.0 Bohr magnetons per cell



[11]
Compound: Y5Be
Source: Alexandria
Functional: PBEsol
Structure: optimized geometry

Structure (CIF):
```
data_Y5Be
_chemical_formula_sum 'Y10 Be2'
_cell_length_a 11.943
_cell_length_b 3.543
_cell_length_c 8.332
_cell_angle_alpha 90.00
_cell_angle_beta 112.71
_cell_angle_gamma 90.00
_symmetry_space_group_name_H-M 'C 1 2/m 1'
_symmetry_Int_Tables_number 12
_symmetry_space_group_name_Hall '-C 2y'
loop_
_atom_site_label
_atom_site_type_symbol
_atom_site_fract_x
_atom_site_fract_y
_atom_site_fract_z
Y1 Y 0.000 0.000 0.000
Y2 Y 0.134 0.500 0.366
Y3 Y 0.165 0.500 0.786
Be1 Be 0.000 0.000 0.500
```

Values from the calculation:
- ΔE to the lowest computed polymorph: 12 meV/atom
- E_tot: -75.54 eV/cell
- Formation energy from the elements: 0.06 eV/atom
- Total moment: 0.0 Bohr magnetons per cell



[12]
Compound: Y2BeZn
Source: Alexandria
Functional: PBEsol
Structure: optimized geometry

Structure (CIF):
```
data_Y2BeZn
_chemical_formula_sum 'Y4 Be2 Zn2'
_cell_length_a 4.140
_cell_length_b 4.140
_cell_length_c 9.497
_cell_angle_alpha 90.00
_cell_angle_beta 90.00
_cell_angle_gamma 90.00
_symmetry_space_group_name_H-M 'I -4 m 2'
_symmetry_Int_Tables_number 119
_symmetry_space_group_name_Hall 'I -4 -2'
loop_
_atom_site_label
_atom_site_type_symbol
_atom_site_fract_x
_atom_site_fract_y
_atom_site_fract_z
Y1 Y 0.000 0.000 0.000
Y2 Y 0.000 0.500 0.250
Be1 Be 0.000 0.500 0.750
Zn1 Zn 0.000 0.000 0.500
```

Values from the calculation:
- E_tot: -37.64 eV/cell
- Formation energy from the elements: 0.10 eV/atom
- Total moment: 0.0 Bohr magnetons per cell